Record 1
Here is a relaxed structure of HfZrPdAu from the Alexandria database. Energies are from PBE-GGA.

```
HfZrPdAu
1.0
-4.343 -1.968 0.337
-0.811 -3.470 3.186
-2.724 0.863 3.832
Pd Zr Hf Au
1 1 1 1
Direct
0.750 0.750 0.750
0.500 0.500 0.500
0.000 0.000 0.000
0.250 0.250 0.250
```

relative energy among the computed polymorphs	103	meV/atom
formation energy from the elements	-0.50	eV/atom
spin magnetization	0.00	Bohr magnetons per cell
total DFT energy (no corrections)	-7.25	eV/atom

Record 2
Here is a relaxed structure of PuGaH from the Alexandria database. Energies are from PBE-GGA.

```
PuGaH
1.0
3.038 0.000 0.000
0.000 3.038 0.000
-1.519 -1.519 5.425
Ga H Pu
1 1 1
Direct
0.333 0.333 0.666
0.052 0.052 0.105
0.614 0.614 0.229
```

relative energy among the computed polymorphs	228	meV/atom
spin magnetization	5.44	Bohr magnetons per cell
total DFT energy (no corrections)	-6.96	eV/atom

Record 3
Here is a relaxed structure of LiPmGdCu from the Alexandria database. Energies are from PBE-GGA.

```
LiPmGdCu
1.0
-3.304 -2.456 -3.037
-3.519 -3.107 2.033
-4.933 1.353 -0.035
Li Pm Cu Gd
1 1 1 1
Direct
0.750 0.750 0.750
0.000 0.000 0.000
0.250 0.250 0.250
0.500 0.500 0.500
```

formation energy from the elements	-0.01	eV/atom
spin magnetization	7.76	Bohr magnetons per cell
total DFT energy (no corrections)	-6.22	eV/atom

Record 4
Here is a relaxed structure of RbTeO3F from the Alexandria database. Energies are from PBE-GGA.

```
RbTeO3F
1.0
-4.961 -1.126 0.946
-2.911 -3.079 4.888
-2.448 6.704 7.046
Rb O F Te
2 6 2 2
Direct
0.750 0.654 0.692
0.250 0.346 0.308
0.102 0.757 0.063
0.250 0.858 0.284
0.602 0.820 0.937
0.898 0.243 0.937
0.750 0.142 0.716
0.398 0.180 0.063
0.750 0.414 0.172
0.250 0.586 0.828
0.250 0.955 0.091
0.750 0.045 0.909
```

energy relative to the elements, uncorrected	-1.226	eV/atom
spin magnetization	0.00	Bohr magnetons per cell
total DFT energy (no corrections)	-4.70	eV/atom

Record 5
Here is a relaxed structure of Pm5Dy2Er12 from the Alexandria database. Energies are from PBE-GGA.

```
Pm5Dy2Er12
1.0
-3.636 -5.973 -0.067
7.821 -0.732 5.774
-2.790 1.588 9.847
Er Dy Pm
12 2 5
Direct
0.026 0.051 0.752
0.405 0.316 0.131
0.089 0.684 0.869
0.911 0.326 0.477
0.584 0.674 0.523
0.416 0.326 0.477
0.911 0.316 0.131
0.974 0.949 0.248
0.502 0.004 0.326
0.498 0.996 0.674
0.595 0.684 0.869
0.089 0.674 0.523
0.729 0.000 0.000
0.271 0.000 0.000
0.812 0.625 0.182
0.681 0.362 0.790
0.188 0.375 0.818
0.319 0.638 0.210
0.000 0.000 0.500
```

relative energy among the computed polymorphs	57	meV/atom
formation energy from the elements	0.18	eV/atom
spin magnetization	0.00	Bohr magnetons per cell
total DFT energy (no corrections)	-4.44	eV/atom

Record 6
Here is a relaxed structure of Ag3MoRh from the Alexandria database. Energies are from PBE-GGA.

```
Ag3MoRh
1.0
-0.723 2.894 3.970
2.136 -3.428 2.888
4.424 2.128 -0.746
Ag Rh Mo
3 1 1
Direct
0.000 0.500 0.000
0.500 0.000 0.000
0.000 0.000 0.500
0.500 0.500 0.500
0.000 0.000 0.000
```

relative energy among the computed polymorphs	423	meV/atom
formation energy from the elements	2.01	eV/atom
spin magnetization	1.74	Bohr magnetons per cell
total DFT energy (no corrections)	-3.34	eV/atom

Record 7
Here is a relaxed structure of La2Pt2Au3 from the Alexandria database. Energies are from PBE-GGA.

```
La2Pt2Au3
1.0
4.282 0.000 0.000
-2.141 5.095 -0.786
0.000 0.171 7.168
Pt Au La
2 3 2
Direct
0.095 0.189 0.647
0.905 0.811 0.353
0.700 0.399 0.876
0.000 0.000 0.000
0.300 0.601 0.124
0.384 0.768 0.677
0.616 0.232 0.323
```

formation energy from the elements	-0.84	eV/atom
spin magnetization	0.00	Bohr magnetons per cell
total DFT energy (no corrections)	-5.38	eV/atom

Record 8
Here is a relaxed structure of CdTe2Cl2 from the Alexandria database. Energies are from PBE-GGA.

```
CdTe2Cl2
1.0
-0.363 -3.965 0.540
-0.060 -0.537 -3.982
10.315 -3.219 -1.749
Te Cl Cd
2 2 1
Direct
0.750 0.250 0.500
0.250 0.750 0.500
0.573 0.573 0.853
0.427 0.427 0.147
0.000 0.000 0.000
```

energy relative to the elements, uncorrected	-0.118	eV/atom
relative energy among the computed polymorphs	11	meV/atom
spin magnetization	0.00	Bohr magnetons per cell
total DFT energy (no corrections)	-2.30	eV/atom

Record 9
Here is a relaxed structure of Ac3Pm2Nd4 from the Alexandria database. Energies are from PBE-GGA.

```
Ac3Pm2Nd4
1.0
5.179 -0.002 1.423
-0.612 8.151 2.240
0.485 0.366 8.374
Ac Nd Pm
3 4 2
Direct
0.000 0.000 0.000
0.442 0.665 0.116
0.558 0.335 0.884
0.115 0.666 0.769
0.330 0.005 0.340
0.670 0.995 0.660
0.885 0.334 0.231
0.776 0.669 0.448
0.224 0.331 0.552
```

formation energy from the elements	0.03	eV/atom
spin magnetization	0.00	Bohr magnetons per cell
total DFT energy (no corrections)	-4.51	eV/atom

Record 10
Here is a relaxed structure of PrTlPbI6 from the Alexandria database. Energies are from PBE-GGA.

```
PrTlPbI6
1.0
-4.270 1.149 6.902
7.262 -3.793 0.257
6.946 13.436 2.061
Pb Tl I Pr
2 2 12 2
Direct
0.333 0.667 0.250
0.667 0.333 0.750
0.000 0.000 0.500
0.000 0.000 0.000
0.991 0.636 0.370
0.364 0.009 0.130
0.355 0.991 0.630
0.009 0.364 0.630
0.991 0.355 0.130
0.636 0.645 0.630
0.645 0.636 0.130
0.636 0.991 0.870
0.364 0.355 0.370
0.009 0.645 0.870
0.355 0.364 0.870
0.645 0.009 0.370
0.667 0.333 0.250
0.333 0.667 0.750
```

energy relative to the elements, uncorrected	-0.993	eV/atom
spin magnetization	0.00	Bohr magnetons per cell
total DFT energy (no corrections)	-3.23	eV/atom

Record 11
Here is a relaxed structure of Ba2GaCu2 from the Alexandria database. Energies are from PBE-GGA.

```
Ba2GaCu2
1.0
8.106 0.000 0.000
0.000 8.106 0.000
0.000 0.000 4.402
Ga Ba Cu
2 4 4
Direct
0.500 0.500 0.000
0.000 0.000 0.000
0.811 0.311 0.500
0.189 0.689 0.500
0.689 0.811 0.500
0.311 0.189 0.500
0.607 0.107 0.000
0.107 0.393 0.000
0.893 0.607 0.000
0.393 0.893 0.000
```

formation energy from the elements	-0.03	eV/atom
spin magnetization	0.00	Bohr magnetons per cell
total DFT energy (no corrections)	-3.05	eV/atom

Record 12
Here is a relaxed structure of TlVCl2 from the Alexandria database. Energies are from PBE-GGA.

```
TlVCl2
1.0
-0.566 7.993 6.182
0.147 5.383 8.568
2.843 6.967 6.768
Tl Cl V
1 2 1
Direct
0.000 0.000 0.000
0.121 0.121 0.121
0.879 0.879 0.879
0.500 0.500 0.500
```

energy relative to the elements, uncorrected	-0.730	eV/atom
relative energy among the computed polymorphs	0	meV/atom
spin magnetization	3.11	Bohr magnetons per cell
total DFT energy (no corrections)	-4.52	eV/atom